(1)
## Al14GaGe (GGA-PBE)

Data for a relaxed Al14GaGe crystal. Values from VASP.

Output
The value obtained for the total energy is -3.71 eV per atom.

Structure (Quantum ESPRESSO input):
```
&SYSTEM
  ibrav = 0, nat = 16, ntyp = 3
/
ATOMIC_SPECIES
Al 26.98 Al.upf
Ga 69.72 Ga.upf
Ge 72.64 Ge.upf
ATOMIC_POSITIONS angstrom
Al -0.509 -2.516 3.186
Al -0.651 2.339 2.594
Al 4.343 -1.590 2.597
Al -0.281 -0.262 1.461
Al 3.754 -1.263 5.423
Al -0.878 0.070 4.321
Al 6.570 1.752 2.662
Al 1.932 1.502 1.724
Al 5.976 2.082 5.512
Al 1.338 1.832 4.573
Al 6.330 -0.525 4.382
Al 1.722 -0.774 3.449
Al 6.174 4.338 3.786
Al 1.591 4.090 2.859
Ga 4.120 -3.866 4.308
Ge 3.976 1.025 3.711
CELL_PARAMETERS angstrom
-0.735 5.188 2.246
-0.449 -4.531 3.432
9.164 0.495 1.854
```

***

(2)
## LiInCl (GGA-PBE)

Data for a relaxed LiInCl crystal. Values from VASP.

Output
The value obtained for the distance to the lowest polymorph of the same formula is 711.3 meV per atom. For the uncorrected formation energy, the calculation gives -0.225 eV per atom.

Structure (Quantum ESPRESSO input):
```
&SYSTEM
  ibrav = 0, nat = 3, ntyp = 3
/
ATOMIC_SPECIES
Cl 35.45 Cl.upf
In 114.82 In.upf
Li 6.94 Li.upf
ATOMIC_POSITIONS angstrom
Cl 2.761 1.458 5.437
In 1.381 0.729 2.719
Li 0.000 0.000 0.000
CELL_PARAMETERS angstrom
-0.812 1.253 4.897
3.213 -1.646 3.630
3.122 3.309 2.347
```

***

(3)
## HoSc5P6 (GGA-PBE)

Data for a relaxed HoSc5P6 crystal. Values from VASP.

Output
The value obtained for the total energy is -7.22 eV per atom.

Structure (Quantum ESPRESSO input):
```
&SYSTEM
  ibrav = 0, nat = 12, ntyp = 3
/
ATOMIC_SPECIES
Sc 44.96 Sc.upf
P 30.97 P.upf
Ho 164.93 Ho.upf
ATOMIC_POSITIONS angstrom
Sc 3.589 1.029 5.434
Sc 0.569 1.855 3.269
Sc 4.051 2.838 2.102
Sc 1.141 3.719 6.523
Sc 4.624 4.706 5.347
P 5.016 0.610 3.254
P 2.615 3.225 4.340
P 2.062 1.455 1.076
P 6.040 4.220 3.128
P 5.597 2.510 6.441
P 3.196 5.124 7.527
Ho 0.000 0.000 0.000
CELL_PARAMETERS angstrom
6.502 0.161 0.989
1.600 5.514 3.215
0.111 0.059 6.577
```